# 1
VASP calculation (PBE-GGA) on a relaxed structure of Sc2NbAg.

abc: 4.841 4.841 4.841
angles: 60.00 60.00 60.00
Last column: magnetic moment on the atom in μB.
Fractional coordinates of all 4 atoms:
1 Ag 0.500 0.500 0.500  0.03
2 Nb 0.750 0.750 0.750  0.95
3 Sc 0.000 0.000 0.000  0.41
4 Sc 0.250 0.250 0.250  0.07

Calculated values
The space group is No. 216. The value obtained for the total magnetization is 0.458 μB/atom. Its formation energy is 0.262 eV per atom. Its calculated total energy is -6.13 eV per atom.

***

# 2
VASP calculation (PBE-GGA) on a relaxed structure of ScNb2Ag4.

abc: 2.959 2.959 16.719
angles: 90.00 90.00 120.00
Fractional coordinates of all 7 atoms:
1 Ag 0.667 0.333 0.067
2 Ag 0.333 0.667 0.365
3 Ag 0.667 0.333 0.635
4 Ag 0.333 0.667 0.933
5 Nb 0.333 0.667 0.203
6 Nb 0.667 0.333 0.797
7 Sc 0.000 0.000 0.500

Calculated values
The space group is No. 164. The value obtained for the total magnetization is 0.000 μB/atom. Its formation energy is 0.401 eV per atom. Its calculated total energy is -5.00 eV per atom.

***

# 3
VASP calculation (PBE-GGA) on a relaxed structure of TbNbAg2Se4.

abc: 6.565 6.565 4.257
angles: 90.00 90.00 90.11
Last column: magnetic moment on the atom in μB.
Fractional coordinates of all 8 atoms:
1 Ag 0.500 0.000 0.996  0.01
2 Ag 0.000 0.500 0.996  0.01
3 Nb 0.000 0.000 0.210  1.59
4 Se 0.290 0.290 0.293  -0.01
5 Se 0.710 0.710 0.293  -0.01
6 Se 0.814 0.186 0.712  -0.03
7 Se 0.186 0.814 0.712  -0.03
8 Tb 0.500 0.500 0.790  0.09

Calculated values
The space group is No. 35. The value obtained for the total magnetization is 0.250 μB/atom. Its calculated total energy is -5.02 eV per atom.

***

# 4
VASP calculation (PBE-GGA) on a relaxed structure of Nb3Si5Ag.

abc: 5.571 5.571 6.473
angles: 90.00 90.00 120.00
Fractional coordinates of all 9 atoms:
1 Ag 0.000 0.000 0.000
2 Nb 0.500 0.000 0.500
3 Nb 0.000 0.500 0.500
4 Nb 0.500 0.500 0.500
5 Si 0.667 0.333 0.177
6 Si 0.333 0.667 0.177
7 Si 0.000 0.000 0.500
8 Si 0.667 0.333 0.823
9 Si 0.333 0.667 0.823

Calculated values
The space group is No. 191. The value obtained for the total magnetization is 0.001 μB/atom. Its calculated total energy is -6.50 eV per atom.

***

Q: Look up the calculated total energy of the first one.
A: -6.13 eV per atom

***

Q: What is the formula in the second record?
A: ScNb2Ag4

***

Repeat the third record exactly.
VASP calculation (PBE-GGA) on a relaxed structure of TbNbAg2Se4.

abc: 6.565 6.565 4.257
angles: 90.00 90.00 90.11
Last column: magnetic moment on the atom in μB.
Fractional coordinates of all 8 atoms:
1 Ag 0.500 0.000 0.996  0.01
2 Ag 0.000 0.500 0.996  0.01
3 Nb 0.000 0.000 0.210  1.59
4 Se 0.290 0.290 0.293  -0.01
5 Se 0.710 0.710 0.293  -0.01
6 Se 0.814 0.186 0.712  -0.03
7 Se 0.186 0.814 0.712  -0.03
8 Tb 0.500 0.500 0.790  0.09

Calculated values
The space group is No. 35. The value obtained for the total magnetization is 0.250 μB/atom. Its calculated total energy is -5.02 eV per atom.

***

Q: calculated total energy of number 2 (ScNb2Ag4)?
A: -5.00 eV per atom